# CaGaAu (GGA-PBE, relaxed)
data_CaGaAu
_cell_length_a 7.3166
_cell_length_b 4.5963
_cell_length_c 7.7945
_cell_angle_alpha 90.00
_cell_angle_beta 90.00
_cell_angle_gamma 90.00
_symmetry_space_group_name_H-M 'P n m a'
_symmetry_Int_Tables_number 62
loop_
_symmetry_equiv_pos_as_xyz
'x,y,z'
'-x,-y,-z'
'-x+1/2,-y,z+1/2'
'x+1/2,y,-z+1/2'
'x+1/2,-y+1/2,-z+1/2'
'-x+1/2,y+1/2,z+1/2'
'-x,y+1/2,-z'
'x,-y+1/2,z'
loop_
_atom_site_label
_atom_site_type_symbol
_atom_site_fract_x
_atom_site_fract_y
_atom_site_fract_z
Ca1 Ca 0.0065 0.2500 0.2001
Ga1 Ga 0.1820 0.2500 0.5808
Au1 Au 0.2056 0.7500 0.4070
# ρ = 7.77 Mg/m³
# Magnetic moment = 0.000 μB per atom
# Final energy = -3.480 eV/atom
# Formation energy from the elements = -0.712 eV per atom